Entry 1:
## KFe2Te (PBEsol)

Data for a relaxed KFe2Te crystal.

Unit cell a=2.8834 b=5.4830 c=5.8852 alpha=117.55 beta=103.81 gamma=90.77
Last column: nearest neighbours and their distance in Å.
Element x y z (fractional)
1 Fe 0.0000 0.0000 0.5000  6 Fe 2.88-3.11, 2 K 2.94, 2 Te 2.94
2 Fe 0.5000 0.5000 0.5000  6 Fe 2.88-3.11, 2 K 2.94, 2 Te 2.94
3 K 0.0000 0.0000 0.0000  2 K 2.88, 4 Fe 2.94, 4 Te 3.08-3.11
4 Te 0.5000 0.5000 0.0000  2 Te 2.88, 4 Fe 2.94, 4 K 3.08-3.11

Output
For the formation energy (no corrections), the calculation gives 0.985 eV/atom. The value obtained for the electronic total energy is -18.65 eV for the cell shown.

---

Entry 2:
## BPBr6 (PBEsol)

Data for a relaxed BPBr6 crystal.

Unit cell a=7.1088 b=11.1464 c=12.4205 alpha=90.00 beta=90.00 gamma=90.00
Last column: nearest neighbours and their distance in Å.
Element x y z (fractional)
1 Br 0.3788 0.2500 0.2679  1 P 2.18
2 Br 0.3839 0.8993 0.2245  1 B 1.98
3 Br 0.7544 0.5928 0.0001  1 P 2.18
4 Br 0.2800 0.7500 0.9995  1 B 1.99
5 Br 0.8839 0.1007 0.2755  1 B 1.98
6 Br 0.7456 0.5928 0.5001  1 P 2.18
7 Br 0.7200 0.2500 0.0005  1 B 1.99
8 Br 0.2200 0.7500 0.4995  1 B 1.99
9 Br 0.1212 0.2500 0.7679  1 P 2.18
10 Br 0.2544 0.0928 0.4999  1 P 2.18
11 Br 0.2456 0.0928 0.9999  1 P 2.18
12 Br 0.7544 0.9072 0.0001  1 P 2.18
13 Br 0.1161 0.6007 0.7245  1 B 1.98
14 Br 0.6161 0.3993 0.7755  1 B 1.98
15 Br 0.7456 0.9072 0.5001  1 P 2.18
16 Br 0.1161 0.8993 0.7245  1 B 1.98
17 Br 0.2456 0.4072 0.9999  1 P 2.18
18 Br 0.3839 0.6007 0.2245  1 B 1.98
19 Br 0.7800 0.2500 0.5005  1 B 1.99
20 Br 0.8839 0.3993 0.2755  1 B 1.98
21 Br 0.6212 0.7500 0.7321  1 P 2.18
22 Br 0.8788 0.7500 0.2321  1 P 2.18
23 Br 0.2544 0.4072 0.4999  1 P 2.18
24 Br 0.6161 0.1007 0.7755  1 B 1.98
25 P 0.1857 0.2500 0.4038  1 B 2.00, 3 Br 2.18
26 P 0.8143 0.7500 0.5962  1 B 2.00, 3 Br 2.18
27 P 0.3143 0.2500 0.9038  1 B 2.00, 3 Br 2.18
28 P 0.6857 0.7500 0.0962  1 B 2.00, 3 Br 2.18
29 B 0.5851 0.2500 0.8602  3 Br 1.98-1.99, 1 P 2.00
30 B 0.0851 0.7500 0.6398  3 Br 1.98-1.99, 1 P 2.00
31 B 0.4149 0.7500 0.1398  3 Br 1.98-1.99, 1 P 2.00
32 B 0.9149 0.2500 0.3602  3 Br 1.98-1.99, 1 P 2.00

Output
For the formation energy (no corrections), the calculation gives -0.429 eV/atom. The value obtained for the electronic total energy is -109.84 eV for the cell shown.